DFT (GGA-PBE) results for crystalline CePuO2 at its relaxed geometry.

Results
The value obtained for the formation energy without anion corrections is -2.08 eV per atom. The size of the total moment is 7.2 Bohr magnetons per cell. As for the polymorph energy (0 for the lowest one): 2.388 eV/f.u. The calculation puts the total energy at -9.62 eV per atom.

abc: 4.3401 4.3401 3.0917
angles: 90.00 90.00 90.00
Element x y z (fractional)
Ce1 0.0000 0.0000 0.0000
Pu1 0.5000 0.5000 0.0000
O1 0.0000 0.5000 0.5000
O2 0.5000 0.0000 0.5000